Entry 1:
Here is a PBEsol-optimized structure of NaCoAg2Pd from the Alexandria database. Energies are from SCAN.

Unit cell a=4.5719 b=4.6096 c=4.6096 alpha=90.00 beta=90.00 gamma=90.00
Closest atoms and distances in Å follow each position.
Sites, in units of the cell vectors:
Na: 0.0000 0.0000 0.0000  2 Pd 2.29, 4 Ag 2.30
Co: 0.5000 0.5000 0.5000  8 Ag 3.25, 4 Pd 3.26
Pd: 0.5000 0.0000 0.0000  2 Na 2.29
Ag: 0.0000 0.0000 0.5000  2 Na 2.30
Ag: 0.0000 0.5000 0.0000  2 Na 2.30

## Properties
DOS at the Fermi energy (states/eV/f.u.): 1.4
DFT total energy (eV/atom): -22.221



Entry 2:
Here is a PBEsol-optimized structure of AlTe2Se from the Alexandria database. Energies are from SCAN.

Unit cell a=3.5456 b=3.5456 c=7.1874 alpha=90.00 beta=90.00 gamma=90.00
Closest atoms and distances in Å follow each position.
Sites, in units of the cell vectors:
Te: 0.0000 0.0000 0.7758  4 Al 2.98, 4 Se 3.20, 1 Te 3.22
Te: 0.0000 0.0000 0.2242  4 Al 2.98, 4 Se 3.20, 1 Te 3.22
Al: 0.5000 0.5000 0.0000  8 Te 2.98
Se: 0.5000 0.5000 0.5000  8 Te 3.20, 4 Se 3.55

## Properties
DOS at the Fermi energy (states/eV/f.u.): 2.5
Uncorrected formation energy (eV per atom): 0.235



Entry 3:
Here is a PBEsol-optimized structure of Sc2PPb from the Alexandria database. Energies are from SCAN.

Unit cell a=4.5461 b=5.0219 c=4.5461 alpha=63.09 beta=90.00 gamma=116.91
Closest atoms and distances in Å follow each position.
Sites, in units of the cell vectors:
P: 0.5000 0.0000 0.5000  8 Sc 2.98, 4 Pb 3.21
Pb: 0.0000 0.0000 0.0000  8 Sc 2.98, 4 P 3.21
Sc: 0.2500 0.5000 0.2500  4 Pb 2.98, 4 P 2.98, 4 Sc 3.21
Sc: 0.7500 0.5000 0.7500  4 P 2.98, 4 Pb 2.98, 4 Sc 3.21

## Properties
DOS at the Fermi energy (states/eV/f.u.): 2.5
DFT total energy (eV/atom): -29.245



Entry 4:
Here is a PBEsol-optimized structure of Mn2TlFe from the Alexandria database. Energies are from SCAN.

Unit cell a=2.8342 b=2.8342 c=8.4019 alpha=80.29 beta=80.29 gamma=60.00
Closest atoms and distances in Å follow each position.
Sites, in units of the cell vectors:
Fe: 0.2619 0.2619 0.2142  3 Mn 2.38
Mn: 0.9985 0.9985 0.0045  3 Fe 2.38, 3 Mn 2.44
Mn: 0.7381 0.7381 0.7856  3 Mn 2.44
Tl: 0.5014 0.5014 0.4956  6 Tl 2.83, 3 Fe 2.84, 3 Mn 2.90

## Properties
DOS at the Fermi energy (states/eV/f.u.): 2.5
DFT total energy (eV/atom): -31.233



Entry 5:
Here is a PBEsol-optimized structure of HgIr2Ru from the Alexandria database. Energies are from SCAN.

Unit cell a=2.7312 b=2.7514 c=9.5446 alpha=90.00 beta=90.00 gamma=119.76
Closest atoms and distances in Å follow each position.
Sites, in units of the cell vectors:
Hg: 0.5000 0.0000 0.0000  6 Hg 2.73-2.75, 4 Ir 2.90
Ir: 0.0000 0.0000 0.7318  2 Ru 2.60, 6 Ir 2.73-2.75, 2 Hg 2.90
Ir: 0.0000 0.0000 0.2682  2 Ru 2.60, 6 Ir 2.73-2.75, 2 Hg 2.90
Ru: 0.5000 0.0000 0.5000  4 Ir 2.60, 6 Ru 2.73-2.75

## Properties
DOS at the Fermi energy (states/eV/f.u.): 2.8
DFT total energy (eV/atom): -60.800



Entry 6:
Here is a PBEsol-optimized structure of CeSb2 from the Alexandria database. Energies are from SCAN.

Unit cell a=4.3536 b=4.3536 c=17.3422 alpha=90.00 beta=90.00 gamma=90.80
Closest atoms and distances in Å follow each position.
Sites, in units of the cell vectors:
Ce: 0.3572 0.3572 0.1099  9 Sb 3.13-3.37
Ce: 0.6428 0.6428 0.8901  9 Sb 3.13-3.37
Ce: 0.1428 0.1428 0.6099  9 Sb 3.13-3.37
Ce: 0.8572 0.8572 0.3901  9 Sb 3.13-3.37
Sb: 0.3581 0.3581 0.4312  1 Sb 2.95, 4 Ce 3.13-3.18
Sb: 0.6419 0.6419 0.5688  1 Sb 2.95, 4 Ce 3.13-3.18
Sb: 0.1419 0.1419 0.9312  1 Sb 2.95, 4 Ce 3.13-3.18
Sb: 0.8581 0.8581 0.0688  1 Sb 2.95, 4 Ce 3.13-3.18
Sb: 0.8653 0.3653 0.2500  4 Sb 3.06-3.10, 4 Ce 3.24-3.29
Sb: 0.6347 0.1347 0.7500  4 Sb 3.06-3.10, 4 Ce 3.24-3.29
Sb: 0.1347 0.6347 0.7500  4 Sb 3.06-3.10, 4 Ce 3.24-3.29
Sb: 0.3653 0.8653 0.2500  4 Sb 3.06-3.10, 4 Ce 3.24-3.29

## Properties
DOS at the Fermi energy (states/eV/f.u.): 2.8
Uncorrected formation energy (eV per atom): -0.873